Entry 1:
# Mn2Ni2Ir (GGA-PBE, relaxed)
data_Mn2Ni2Ir
_symmetry_space_group_name_H-M 'P 1'
_symmetry_Int_Tables_number 1
_symmetry_space_group_name_Hall 'P 1'
_cell_length_a 6.607
_cell_length_b 6.607
_cell_length_c 2.720
_cell_angle_alpha 90.00
_cell_angle_beta 90.00
_cell_angle_gamma 90.00
loop_
_atom_site_label
_atom_site_type_symbol
_atom_site_fract_x
_atom_site_fract_y
_atom_site_fract_z
_atom_site_occupancy
Mn1 Mn 0.107 0.393 0.000 1
Mn2 Mn 0.393 0.893 0.000 1
Mn3 Mn 0.607 0.107 0.000 1
Mn4 Mn 0.893 0.607 0.000 1
Ni1 Ni 0.187 0.687 0.500 1
Ni2 Ni 0.313 0.187 0.500 1
Ni3 Ni 0.687 0.813 0.500 1
Ni4 Ni 0.813 0.313 0.500 1
Ir1 Ir 0.000 0.000 0.000 1
Ir2 Ir 0.500 0.500 0.000 1
# E above lowest polymorph, kJ/mol of formula units: 97.1
# Crystal system: tetragonal
# Density of states at the Fermi level, states/eV/f.u.: 6.85

Entry 2:
# MnNi2Ir (GGA-PBE, relaxed)
data_MnNi2Ir
_symmetry_space_group_name_H-M 'P 1'
_symmetry_Int_Tables_number 1
_symmetry_space_group_name_Hall 'P 1'
_cell_length_a 5.193
_cell_length_b 5.193
_cell_length_c 5.193
_cell_angle_alpha 102.68
_cell_angle_beta 102.68
_cell_angle_gamma 124.12
loop_
_atom_site_label
_atom_site_type_symbol
_atom_site_fract_x
_atom_site_fract_y
_atom_site_fract_z
_atom_site_occupancy
Mn1 Mn 0.000 0.000 0.000 1
Mn2 Mn 0.750 0.250 0.500 1
Ni1 Ni 0.099 0.125 0.474 1
Ni2 Ni 0.375 0.901 0.026 1
Ni3 Ni 0.651 0.625 0.526 1
Ni4 Ni 0.875 0.349 0.974 1
Ir1 Ir 0.250 0.750 0.500 1
Ir2 Ir 0.500 0.500 0.000 1
# Crystal system: tetragonal
# Density of states at the Fermi level, states/eV/f.u.: 7.17

Entry 3:
# MnNi2Ir (GGA-PBE, relaxed)
data_MnNi2Ir
_symmetry_space_group_name_H-M 'P 1'
_symmetry_Int_Tables_number 1
_symmetry_space_group_name_Hall 'P 1'
_cell_length_a 2.614
_cell_length_b 2.614
_cell_length_c 8.213
_cell_angle_alpha 90.00
_cell_angle_beta 90.00
_cell_angle_gamma 114.60
loop_
_atom_site_label
_atom_site_type_symbol
_atom_site_fract_x
_atom_site_fract_y
_atom_site_fract_z
_atom_site_occupancy
Mn1 Mn 0.000 0.000 0.000 1
Ni1 Ni 0.000 0.000 0.479 1
Ni2 Ni 0.500 0.500 0.237 1
Ir1 Ir 0.500 0.500 0.741 1
# Crystal system: orthorhombic
# Density of states at the Fermi level, states/eV/f.u.: 6.51

Entry 4:
# Mn2Ni3Ir3 (GGA-PBE, relaxed)
data_Mn2Ni3Ir3
_symmetry_space_group_name_H-M 'P 1'
_symmetry_Int_Tables_number 1
_symmetry_space_group_name_Hall 'P 1'
_cell_length_a 3.753
_cell_length_b 3.756
_cell_length_c 7.228
_cell_angle_alpha 90.00
_cell_angle_beta 90.00
_cell_angle_gamma 90.00
loop_
_atom_site_label
_atom_site_type_symbol
_atom_site_fract_x
_atom_site_fract_y
_atom_site_fract_z
_atom_site_occupancy
Mn1 Mn 0.000 0.000 0.246 1
Mn2 Mn 0.000 0.000 0.754 1
Ni1 Ni 0.500 0.000 0.000 1
Ni2 Ni 0.500 0.500 0.247 1
Ni3 Ni 0.500 0.500 0.753 1
Ir1 Ir 0.000 0.500 0.000 1
Ir2 Ir 0.000 0.500 0.500 1
Ir3 Ir 0.500 0.000 0.500 1
# Crystal system: orthorhombic
# Density of states at the Fermi level, states/eV/f.u.: 7.85

Entry 5:
# Mn2NiIr (GGA-PBE, relaxed)
data_Mn2NiIr
_symmetry_space_group_name_H-M 'P 1'
_symmetry_Int_Tables_number 1
_symmetry_space_group_name_Hall 'P 1'
_cell_length_a 4.456
_cell_length_b 4.456
_cell_length_c 4.455
_cell_angle_alpha 100.44
_cell_angle_beta 100.44
_cell_angle_gamma 34.48
loop_
_atom_site_label
_atom_site_type_symbol
_atom_site_fract_x
_atom_site_fract_y
_atom_site_fract_z
_atom_site_occupancy
Mn1 Mn 0.000 0.000 0.000 1
Mn2 Mn 0.249 0.249 0.726 1
Ni1 Ni 0.501 0.501 0.504 1
Ir1 Ir 0.749 0.749 0.228 1
# Crystal system: monoclinic
# Density of states at the Fermi level, states/eV/f.u.: 5.39

Entry 6:
# MnNi4Ir (GGA-PBE, relaxed)
data_MnNi4Ir
_symmetry_space_group_name_H-M 'P 1'
_symmetry_Int_Tables_number 1
_symmetry_space_group_name_Hall 'P 1'
_cell_length_a 7.472
_cell_length_b 7.472
_cell_length_c 4.064
_cell_angle_alpha 90.05
_cell_angle_beta 90.05
_cell_angle_gamma 141.14
loop_
_atom_site_label
_atom_site_type_symbol
_atom_site_fract_x
_atom_site_fract_y
_atom_site_fract_z
_atom_site_occupancy
Mn1 Mn 0.121 0.879 0.750 1
Mn2 Mn 0.879 0.121 0.250 1
Ni1 Ni 0.042 0.458 0.750 1
Ni2 Ni 0.212 0.295 0.750 1
Ni3 Ni 0.295 0.212 0.250 1
Ni4 Ni 0.458 0.042 0.250 1
Ni5 Ni 0.542 0.958 0.750 1
Ni6 Ni 0.705 0.788 0.750 1
Ni7 Ni 0.788 0.705 0.250 1
Ni8 Ni 0.958 0.542 0.250 1
Ir1 Ir 0.373 0.627 0.250 1
Ir2 Ir 0.627 0.373 0.750 1
# E above lowest polymorph, kJ/mol of formula units: 41.9
# Crystal system: monoclinic
# Density of states at the Fermi level, states/eV/f.u.: 9.70

Entry 7:
# MnNi2Ir (GGA-PBE, relaxed)
data_MnNi2Ir
_symmetry_space_group_name_H-M 'P 1'
_symmetry_Int_Tables_number 1
_symmetry_space_group_name_Hall 'P 1'
_cell_length_a 4.447
_cell_length_b 4.447
_cell_length_c 2.670
_cell_angle_alpha 90.00
_cell_angle_beta 90.00
_cell_angle_gamma 108.93
loop_
_atom_site_label
_atom_site_type_symbol
_atom_site_fract_x
_atom_site_fract_y
_atom_site_fract_z
_atom_site_occupancy
Mn1 Mn 0.000 0.000 0.000 1
Ni1 Ni 0.000 0.500 0.500 1
Ni2 Ni 0.500 0.000 0.500 1
Ir1 Ir 0.500 0.500 0.000 1
# Crystal system: orthorhombic
# Density of states at the Fermi level, states/eV/f.u.: 5.48

Entry 8:
# MnNiIr (GGA-PBE, relaxed)
data_MnNiIr
_symmetry_space_group_name_H-M 'P 1'
_symmetry_Int_Tables_number 1
_symmetry_space_group_name_Hall 'P 1'
_cell_length_a 5.651
_cell_length_b 5.651
_cell_length_c 5.651
_cell_angle_alpha 152.90
_cell_angle_beta 152.90
_cell_angle_gamma 38.71
loop_
_atom_site_label
_atom_site_type_symbol
_atom_site_fract_x
_atom_site_fract_y
_atom_site_fract_z
_atom_site_occupancy
Mn1 Mn 0.000 0.000 0.000 1
Ni1 Ni 0.660 0.660 0.000 1
Ir1 Ir 0.336 0.336 0.000 1
# E above lowest polymorph, kJ/mol of formula units: 0.0
# Crystal system: tetragonal
# Density of states at the Fermi level, states/eV/f.u.: 2.96

Entry 9:
# Mn2NiIr (GGA-PBE, relaxed)
data_Mn2NiIr
_symmetry_space_group_name_H-M 'P 1'
_symmetry_Int_Tables_number 1
_symmetry_space_group_name_Hall 'P 1'
_cell_length_a 2.643
_cell_length_b 2.643
_cell_length_c 7.057
_cell_angle_alpha 90.00
_cell_angle_beta 90.00
_cell_angle_gamma 90.00
loop_
_atom_site_label
_atom_site_type_symbol
_atom_site_fract_x
_atom_site_fract_y
_atom_site_fract_z
_atom_site_occupancy
Mn1 Mn 0.000 0.000 0.241 1
Mn2 Mn 0.000 0.000 0.759 1
Ni1 Ni 0.500 0.500 0.000 1
Ir1 Ir 0.500 0.500 0.500 1
# Crystal system: tetragonal
# Density of states at the Fermi level, states/eV/f.u.: 4.86

Entry 10:
# MnNiIr4 (GGA-PBE, relaxed)
data_MnNiIr4
_symmetry_space_group_name_H-M 'P 1'
_symmetry_Int_Tables_number 1
_symmetry_space_group_name_Hall 'P 1'
_cell_length_a 5.417
_cell_length_b 7.281
_cell_length_c 4.633
_cell_angle_alpha 90.00
_cell_angle_beta 113.07
_cell_angle_gamma 90.00
loop_
_atom_site_label
_atom_site_type_symbol
_atom_site_fract_x
_atom_site_fract_y
_atom_site_fract_z
_atom_site_occupancy
Mn1 Mn 0.000 0.000 0.000 1
Mn2 Mn 0.000 0.500 0.500 1
Ni1 Ni 0.500 0.000 0.000 1
Ni2 Ni 0.500 0.500 0.500 1
Ir1 Ir 0.134 0.154 0.552 1
Ir2 Ir 0.134 0.346 0.052 1
Ir3 Ir 0.372 0.658 0.954 1
Ir4 Ir 0.372 0.842 0.454 1
Ir5 Ir 0.628 0.158 0.546 1
Ir6 Ir 0.628 0.342 0.046 1
Ir7 Ir 0.866 0.654 0.948 1
Ir8 Ir 0.866 0.846 0.448 1
# E above lowest polymorph, kJ/mol of formula units: 0.0
# Crystal system: monoclinic
# Density of states at the Fermi level, states/eV/f.u.: 6.50

Entry 11:
# MnNi5Ir (GGA-PBE, relaxed)
data_MnNi5Ir
_symmetry_space_group_name_H-M 'P 1'
_symmetry_Int_Tables_number 1
_symmetry_space_group_name_Hall 'P 1'
_cell_length_a 4.304
_cell_length_b 4.304
_cell_length_c 5.008
_cell_angle_alpha 90.00
_cell_angle_beta 90.00
_cell_angle_gamma 110.17
loop_
_atom_site_label
_atom_site_type_symbol
_atom_site_fract_x
_atom_site_fract_y
_atom_site_fract_z
_atom_site_occupancy
Mn1 Mn 0.000 0.000 0.000 1
Ni1 Ni 0.000 0.500 0.250 1
Ni2 Ni 0.000 0.500 0.750 1
Ni3 Ni 0.500 0.000 0.250 1
Ni4 Ni 0.500 0.000 0.750 1
Ni5 Ni 0.500 0.500 0.000 1
Ir1 Ir 0.500 0.500 0.500 1
# Crystal system: orthorhombic
# Density of states at the Fermi level, states/eV/f.u.: 12.05

Entry 12:
# Mn2NiIr (GGA-PBE, relaxed)
data_Mn2NiIr
_symmetry_space_group_name_H-M 'P 1'
_symmetry_Int_Tables_number 1
_symmetry_space_group_name_Hall 'P 1'
_cell_length_a 2.654
_cell_length_b 2.654
_cell_length_c 7.104
_cell_angle_alpha 90.00
_cell_angle_beta 90.00
_cell_angle_gamma 90.00
loop_
_atom_site_label
_atom_site_type_symbol
_atom_site_fract_x
_atom_site_fract_y
_atom_site_fract_z
_atom_site_occupancy
Mn1 Mn 0.000 0.000 0.000 1
Mn2 Mn 0.500 0.500 0.246 1
Ni1 Ni 0.000 0.000 0.488 1
Ir1 Ir 0.500 0.500 0.753 1
# Crystal system: tetragonal
# Density of states at the Fermi level, states/eV/f.u.: 4.89

Entry 13:
# Mn2Ni2Ir (GGA-PBE, relaxed)
data_Mn2Ni2Ir
_symmetry_space_group_name_H-M 'P 1'
_symmetry_Int_Tables_number 1
_symmetry_space_group_name_Hall 'P 1'
_cell_length_a 6.697
_cell_length_b 6.697
_cell_length_c 2.768
_cell_angle_alpha 90.00
_cell_angle_beta 90.00
_cell_angle_gamma 90.00
loop_
_atom_site_label
_atom_site_type_symbol
_atom_site_fract_x
_atom_site_fract_y
_atom_site_fract_z
_atom_site_occupancy
Mn1 Mn 0.173 0.327 0.000 1
Mn2 Mn 0.327 0.827 0.000 1
Mn3 Mn 0.673 0.173 0.000 1
Mn4 Mn 0.827 0.673 0.000 1
Ni1 Ni 0.126 0.626 0.500 1
Ni2 Ni 0.374 0.126 0.500 1
Ni3 Ni 0.626 0.874 0.500 1
Ni4 Ni 0.874 0.374 0.500 1
Ir1 Ir 0.000 0.000 0.500 1
Ir2 Ir 0.500 0.500 0.500 1
# E above lowest polymorph, kJ/mol of formula units: 0.0
# Crystal system: tetragonal
# Density of states at the Fermi level, states/eV/f.u.: 8.71

Entry 14:
# MnNi2Ir (GGA-PBE, relaxed)
data_MnNi2Ir
_symmetry_space_group_name_H-M 'P 1'
_symmetry_Int_Tables_number 1
_symmetry_space_group_name_Hall 'P 1'
_cell_length_a 8.368
_cell_length_b 8.368
_cell_length_c 8.368
_cell_angle_alpha 18.01
_cell_angle_beta 18.01
_cell_angle_gamma 18.01
loop_
_atom_site_label
_atom_site_type_symbol
_atom_site_fract_x
_atom_site_fract_y
_atom_site_fract_z
_atom_site_occupancy
Mn1 Mn 0.000 0.000 0.000 1
Ni1 Ni 0.495 0.495 0.495 1
Ni2 Ni 0.747 0.747 0.747 1
Ir1 Ir 0.249 0.249 0.249 1
# Crystal system: trigonal
# Density of states at the Fermi level, states/eV/f.u.: 5.24

Energy of formation in meV per atom, matching the order above: 273 600 170 -118 -11 16 -49 -23 -21 80 282 2 72 45